# Dy6CuAg

Dy6CuAg after structural relaxation (PBE-GGA, Alexandria).

Output
- E_tot: -4.422 eV/atom
- SG: I4/mmm, No. 139
- Total moment: 0.00 Bohr magnetons per cell
- Energy of formation from the pure elements: -2.34 kcal/mol of atoms
- Crystal system: tetragonal

abc: 9.3825 9.3825 9.3825
angles: 149.01 149.01 44.39
Fractional positions:
1 Dy 0.1037 0.6037 0.5000
2 Dy 0.2497 0.2497 0.0000
3 Dy 0.3963 0.8963 0.5000
4 Dy 0.6037 0.1037 0.5000
5 Dy 0.7503 0.7503 0.0000
6 Dy 0.8963 0.3963 0.5000
7 Cu 0.0000 0.0000 0.0000
8 Ag 0.5000 0.5000 0.0000